Entry 1:
A plane-wave DFT calculation with GGA-PBEsol was carried out for HfSnRh after structural relaxation.

Calculated values
Size of the total moment ... 0.00 μB/cell
Energy of formation from the pure elements ... -0.7525 eV/atom

a = 7.3310 Å, b = 7.3310 Å, c = 3.5184 Å
α = 90.00°, β = 90.00°, γ = 120.00°
Space group P-62m (No. 189)
Unique sites:
Hf1 0.0000 0.6053 0.0000 (multiplicity 3)
Sn1 0.0000 0.2706 0.5000 (multiplicity 3)
Rh1 0.0000 0.0000 0.0000 (multiplicity 1)
Rh2 0.3333 0.6667 0.5000 (multiplicity 2)

Entry 2:
A plane-wave DFT calculation with GGA-PBEsol was carried out for HfTi2SnRh after structural relaxation.

Calculated values
Size of the total moment ... 0.00 μB/cell
Energy of formation from the pure elements ... 1.2777 eV/atom

a = 4.575 Å, b = 4.575 Å, c = 5.204 Å
α = 90.00°, β = 90.00°, γ = 90.00°
Space group P4/mmm (No. 123)
Unique sites:
Hf1 0.000 0.000 0.000 (multiplicity 1)
Ti1 0.000 0.500 0.000 (multiplicity 2)
Sn1 0.000 0.000 0.500 (multiplicity 1)
Rh1 0.500 0.500 0.500 (multiplicity 1)

Entry 3:
A plane-wave DFT calculation with GGA-PBEsol was carried out for SrHf3Rh after structural relaxation.

Calculated values
Size of the total moment ... 0.00 μB/cell
Energy of formation from the pure elements ... 0.2430 eV/atom

a = 5.053 Å, b = 5.053 Å, c = 5.053 Å
α = 90.00°, β = 90.00°, γ = 90.00°
Space group Pm-3m (No. 221)
Unique sites:
Sr1 0.000 0.000 0.000 (multiplicity 1)
Hf1 0.000 0.500 0.500 (multiplicity 3)
Rh1 0.500 0.500 0.500 (multiplicity 1)

Entry 4:
A plane-wave DFT calculation with GGA-PBEsol was carried out for HfTi2TcRh after structural relaxation.

Calculated values
Size of the total moment ... 0.00 μB/cell
Energy of formation from the pure elements ... 1.5763 eV/atom

a = 4.644 Å, b = 4.644 Å, c = 4.519 Å
α = 90.00°, β = 90.00°, γ = 90.00°
Space group P4/mmm (No. 123)
Unique sites:
Hf1 0.000 0.000 0.000 (multiplicity 1)
Ti1 0.000 0.500 0.000 (multiplicity 2)
Tc1 0.000 0.000 0.500 (multiplicity 1)
Rh1 0.500 0.500 0.500 (multiplicity 1)

Entry 5:
A plane-wave DFT calculation with GGA-PBEsol was carried out for Hf2TlTcRh after structural relaxation.

Calculated values
Size of the total moment ... 1.36 μB/cell
Energy of formation from the pure elements ... 1.9777 eV/atom

a = 5.097 Å, b = 5.097 Å, c = 4.723 Å
α = 90.00°, β = 90.00°, γ = 90.00°
Space group P4/mmm (No. 123)
Unique sites:
Hf1 0.000 0.500 0.000 (multiplicity 2)
Tl1 0.000 0.000 0.000 (multiplicity 1)
Tc1 0.500 0.500 0.500 (multiplicity 1)
Rh1 0.000 0.000 0.500 (multiplicity 1)

Entry 6:
A plane-wave DFT calculation with GGA-PBEsol was carried out for Hf3TeRh after structural relaxation.

Calculated values
Size of the total moment ... 0.00 μB/cell
Formation energy (no corrections) ... 0.03 eV/atom

a = 4.940 Å, b = 4.940 Å, c = 4.940 Å
α = 90.00°, β = 90.00°, γ = 90.00°
Space group Pm-3m (No. 221)
Unique sites:
Hf1 0.000 0.000 0.500 (multiplicity 3)
Te1 0.500 0.500 0.500 (multiplicity 1)
Rh1 0.000 0.000 0.000 (multiplicity 1)

Entry 7:
A plane-wave DFT calculation with GGA-PBEsol was carried out for HfRh3W after structural relaxation.

Calculated values
Size of the total moment ... 0.00 μB/cell
Excess energy over the best structure of this formula in the dataset ... 0.000 eV/atom
Energy of formation from the pure elements ... 0.9293 eV/atom

a = 4.604 Å, b = 4.604 Å, c = 4.604 Å
α = 90.00°, β = 90.00°, γ = 90.00°
Space group Pm-3m (No. 221)
Unique sites:
Hf1 0.000 0.000 0.000 (multiplicity 1)
Rh1 0.000 0.500 0.500 (multiplicity 3)
W1 0.500 0.500 0.500 (multiplicity 1)

Entry 8:
A plane-wave DFT calculation with GGA-PBEsol was carried out for YHfRh3 after structural relaxation.

Calculated values
Size of the total moment ... 0.00 μB/cell
Energy of formation from the pure elements ... 0.8750 eV/atom

a = 4.694 Å, b = 4.694 Å, c = 4.694 Å
α = 90.00°, β = 90.00°, γ = 90.00°
Space group Pm-3m (No. 221)
Unique sites:
Y1 0.000 0.000 0.000 (multiplicity 1)
Hf1 0.500 0.500 0.500 (multiplicity 1)
Rh1 0.000 0.000 0.500 (multiplicity 3)

Entry 9:
A plane-wave DFT calculation with GGA-PBEsol was carried out for YHf2Rh2 after structural relaxation.

Calculated values
Size of the total moment ... 0.00 μB/cell
Energy of formation from the pure elements ... -0.6419 eV/atom

a = 4.405 Å, b = 4.405 Å, c = 10.720 Å
α = 90.00°, β = 90.00°, γ = 90.00°
Space group I4/mmm (No. 139)
Unique sites:
Y1 0.000 0.000 0.000 (multiplicity 2)
Hf1 0.000 0.500 0.250 (multiplicity 4)
Rh1 0.000 0.000 0.382 (multiplicity 4)

Entry 10:
A plane-wave DFT calculation with GGA-PBEsol was carried out for Y2HfRh2 after structural relaxation.

Calculated values
Size of the total moment ... 0.00 μB/cell
Energy of formation from the pure elements ... -0.6466 eV/atom

a = 6.947 Å, b = 6.947 Å, c = 4.318 Å
α = 90.00°, β = 90.00°, γ = 90.00°
Space group P4/mbm (No. 127)
Unique sites:
Y1 0.170 0.330 0.000 (multiplicity 4)
Hf1 0.000 0.000 0.500 (multiplicity 2)
Rh1 0.140 0.640 0.500 (multiplicity 4)

Entry 11:
A plane-wave DFT calculation with GGA-PBEsol was carried out for YHfRh after structural relaxation.

Calculated values
Size of the total moment ... 0.00 μB/cell
Energy of formation from the pure elements ... -0.5906 eV/atom

a = 11.228 Å, b = 3.737 Å, c = 7.490 Å
α = 90.00°, β = 125.11°, γ = 90.00°
Space group C2/m (No. 12)
Unique sites:
Y1 0.083 0.000 0.355 (multiplicity 4)
Hf1 0.169 0.500 0.072 (multiplicity 4)
Rh1 0.147 0.500 0.696 (multiplicity 4)

Entry 12:
A plane-wave DFT calculation with GGA-PBEsol was carried out for HfSbRu after structural relaxation.

Calculated values
Size of the total moment ... 0.00 μB/cell
Formation energy (no corrections) ... -0.53 eV/atom

a = 6.237 Å, b = 6.237 Å, c = 6.237 Å
α = 90.00°, β = 90.00°, γ = 90.00°
Space group F-43m (No. 216)
Unique sites:
Hf1 0.000 0.000 0.000 (multiplicity 4)
Sb1 0.000 0.000 0.500 (multiplicity 4)
Ru1 0.250 0.250 0.250 (multiplicity 4)

Entry 13:
A plane-wave DFT calculation with GGA-PBEsol was carried out for Hf3SbRu after structural relaxation.

Calculated values
Size of the total moment ... 0.00 μB/cell
Formation energy (no corrections) ... 0.11 eV/atom

a = 4.898 Å, b = 4.898 Å, c = 4.898 Å
α = 90.00°, β = 90.00°, γ = 90.00°
Space group Pm-3m (No. 221)
Unique sites:
Hf1 0.000 0.000 0.500 (multiplicity 3)
Sb1 0.500 0.500 0.500 (multiplicity 1)
Ru1 0.000 0.000 0.000 (multiplicity 1)

Entry 14:
A plane-wave DFT calculation with GGA-PBEsol was carried out for HfScRu2 after structural relaxation.

Calculated values
Size of the total moment ... 0.00 μB/cell
Energy of formation from the pure elements ... -0.6888 eV/atom

a = 6.356 Å, b = 6.356 Å, c = 6.356 Å
α = 90.00°, β = 90.00°, γ = 90.00°
Space group Fm-3m (No. 225)
Unique sites:
Hf1 0.000 0.000 0.000 (multiplicity 4)
Sc1 0.000 0.000 0.500 (multiplicity 4)
Ru1 0.250 0.250 0.250 (multiplicity 8)

Entry 15:
A plane-wave DFT calculation with GGA-PBEsol was carried out for Hf2ScZnRu after structural relaxation.

Calculated values
Size of the total moment ... 0.00 μB/cell
Energy of formation from the pure elements ... 0.2975 eV/atom

a = 4.809 Å, b = 4.809 Å, c = 4.839 Å
α = 90.00°, β = 90.00°, γ = 90.00°
Space group P4/mmm (No. 123)
Unique sites:
Hf1 0.000 0.500 0.000 (multiplicity 2)
Sc1 0.000 0.000 0.500 (multiplicity 1)
Zn1 0.500 0.500 0.500 (multiplicity 1)
Ru1 0.500 0.500 0.000 (multiplicity 1)

Entry 16:
A plane-wave DFT calculation with GGA-PBEsol was carried out for Hf2Si4Ru3 after structural relaxation.

Calculated values
Size of the total moment ... 0.00 μB/cell
Formation energy (no corrections) ... -0.89 eV/atom

a = 18.790 Å, b = 5.292 Å, c = 13.162 Å
α = 90.00°, β = 127.53°, γ = 90.00°
Space group C2/c (No. 15)
Unique sites:
Hf1 0.073 0.129 0.148 (multiplicity 8)
Hf2 0.166 0.372 0.862 (multiplicity 8)
Si1 0.000 0.119 0.750 (multiplicity 4)
Si2 0.000 0.372 0.250 (multiplicity 4)
Si3 0.113 0.357 0.606 (multiplicity 8)
Si4 0.171 0.243 0.064 (multiplicity 8)
Si5 0.234 0.123 0.396 (multiplicity 8)
Ru1 0.021 0.387 0.916 (multiplicity 8)
Ru2 0.122 0.143 0.433 (multiplicity 8)
Ru3 0.238 0.087 0.720 (multiplicity 8)

Entry 17:
A plane-wave DFT calculation with GGA-PBEsol was carried out for HfSiRu2 after structural relaxation.

Calculated values
Size of the total moment ... 0.00 μB/cell
Formation energy (no corrections) ... -0.82 eV/atom

a = 6.111 Å, b = 6.111 Å, c = 6.111 Å
α = 90.00°, β = 90.00°, γ = 90.00°
Space group Fm-3m (No. 225)
Unique sites:
Hf1 0.000 0.000 0.000 (multiplicity 4)
Si1 0.000 0.000 0.500 (multiplicity 4)
Ru1 0.250 0.250 0.250 (multiplicity 8)

Entry 18:
A plane-wave DFT calculation with GGA-PBEsol was carried out for Hf2Si2Ru after structural relaxation.

Calculated values
Size of the total moment ... 0.00 μB/cell
Formation energy (no corrections) ... -0.93 eV/atom

a = 6.250 Å, b = 6.250 Å, c = 4.066 Å
α = 90.00°, β = 90.00°, γ = 90.00°
Space group P4/mbm (No. 127)
Unique sites:
Hf1 0.173 0.327 0.000 (multiplicity 4)
Si1 0.135 0.635 0.500 (multiplicity 4)
Ru1 0.000 0.000 0.500 (multiplicity 2)

Entry 19:
A plane-wave DFT calculation with GGA-PBEsol was carried out for HfSiRu after structural relaxation.

Calculated values
Size of the total moment ... 0.00 μB/cell
Formation energy (no corrections) ... -0.97 eV/atom

a = 6.5891 Å, b = 6.5891 Å, c = 3.6466 Å
α = 90.00°, β = 90.00°, γ = 120.00°
Space group P-62m (No. 189)
Unique sites:
Hf1 0.0000 0.4151 0.0000 (multiplicity 3)
Si1 0.0000 0.0000 0.0000 (multiplicity 1)
Si2 0.3333 0.6667 0.5000 (multiplicity 2)
Ru1 0.0000 0.7542 0.5000 (multiplicity 3)

Entry 20:
A plane-wave DFT calculation with GGA-PBEsol was carried out for HfSiRu after structural relaxation.

Calculated values
Size of the total moment ... 0.00 μB/cell
Formation energy (no corrections) ... -0.99 eV/atom

a = 7.297 Å, b = 11.369 Å, c = 6.598 Å
α = 90.00°, β = 90.00°, γ = 90.00°
Space group Ima2 (No. 46)
Unique sites:
Hf1 0.250 0.003 0.000 (multiplicity 4)
Hf2 0.250 0.220 0.643 (multiplicity 4)
Hf3 0.250 0.697 0.120 (multiplicity 4)
Si1 0.006 0.667 0.421 (multiplicity 8)
Si2 0.250 0.024 0.411 (multiplicity 4)
Ru1 0.000 0.000 0.665 (multiplicity 4)
Ru2 0.027 0.624 0.795 (multiplicity 8)